DFT (PBE) results for crystalline BaZnSe2I at its relaxed geometry.

**V**: 168.3 Å³ per cell
**Spin magnetization**: 0.000 μB/f.u.
**VASP energy**: -15.09 eV for the cell shown

```
data_BaZnSe2I
_cell_length_a 4.9356
_cell_length_b 4.9356
_cell_length_c 6.9086
_cell_angle_alpha 90.00
_cell_angle_beta 90.00
_cell_angle_gamma 90.00
_symmetry_space_group_name_H-M 'P 1'
_symmetry_Int_Tables_number 1
_symmetry_space_group_name_Hall 'P 1'
loop_
_atom_site_label
_atom_site_type_symbol
_atom_site_fract_x
_atom_site_fract_y
_atom_site_fract_z
I1 I 0.5000 0.5000 0.5000
Zn1 Zn 0.0000 0.0000 0.0000
Ba1 Ba 0.0000 0.0000 0.5000
Se1 Se 0.0000 0.5000 0.0000
Se2 Se 0.5000 0.0000 0.0000
```

***

DFT (PBE) results for crystalline PmAlIr2 at its relaxed geometry.

**V**: 69.6 Å³ per cell
**Energy relative to the lowest polymorph listed for this composition**: 0 meV/atom
**Spin magnetization**: 0.000 μB/f.u.
**VASP energy**: -28.78 eV for the cell shown
**ΔE_f**: -0.64 eV/atom

```
data_PmAlIr2
_cell_length_a 3.1381
_cell_length_b 3.1381
_cell_length_c 7.0712
_cell_angle_alpha 90.00
_cell_angle_beta 90.00
_cell_angle_gamma 90.00
_symmetry_space_group_name_H-M 'P 1'
_symmetry_Int_Tables_number 1
_symmetry_space_group_name_Hall 'P 1'
loop_
_atom_site_label
_atom_site_type_symbol
_atom_site_fract_x
_atom_site_fract_y
_atom_site_fract_z
Ir1 Ir 0.0000 0.0000 0.7959
Ir2 Ir 0.0000 0.0000 0.2041
Al1 Al 0.5000 0.5000 0.0000
Pm1 Pm 0.5000 0.5000 0.5000
```

***

DFT (PBE) results for crystalline MgAlIn2 at its relaxed geometry.

**V**: 196.9 Å³ per cell
**Spin magnetization**: 0.000 μB/f.u.
**VASP energy**: -20.42 eV for the cell shown
**ΔE_f**: 0.15 eV/atom

```
data_MgAlIn2
_cell_length_a 4.3706
_cell_length_b 4.3706
_cell_length_c 10.7626
_cell_angle_alpha 78.28
_cell_angle_beta 78.28
_cell_angle_gamma 90.00
_symmetry_space_group_name_H-M 'P 1'
_symmetry_Int_Tables_number 1
_symmetry_space_group_name_Hall 'P 1'
loop_
_atom_site_label
_atom_site_type_symbol
_atom_site_fract_x
_atom_site_fract_y
_atom_site_fract_z
Mg1 Mg 0.5000 0.5000 0.0000
Mg2 Mg 0.2500 0.7500 0.5000
Al1 Al 0.0000 0.0000 0.0000
Al2 Al 0.7500 0.2500 0.5000
In1 In 0.6288 0.1250 0.2500
In2 In 0.1212 0.6250 0.2500
In3 In 0.3750 0.3712 0.7500
In4 In 0.8750 0.8788 0.7500
```

***

DFT (PBE) results for crystalline Pr2AlAg3 at its relaxed geometry.

**V**: 287.7 Å³ per cell
**Energy relative to the lowest polymorph listed for this composition**: 0 meV/atom
**Spin magnetization**: 0.000 μB/f.u.
**VASP energy**: -47.24 eV for the cell shown
**ΔE_f**: -0.29 eV/atom

```
data_Pr2AlAg3
_cell_length_a 5.9963
_cell_length_b 5.9963
_cell_length_c 9.6181
_cell_angle_alpha 113.53
_cell_angle_beta 113.53
_cell_angle_gamma 73.70
_symmetry_space_group_name_H-M 'P 1'
_symmetry_Int_Tables_number 1
_symmetry_space_group_name_Hall 'P 1'
loop_
_atom_site_label
_atom_site_type_symbol
_atom_site_fract_x
_atom_site_fract_y
_atom_site_fract_z
Pr1 Pr 0.7500 0.2500 0.5000
Pr2 Pr 0.7574 0.2426 0.0000
Pr3 Pr 0.2500 0.7500 0.5000
Pr4 Pr 0.2426 0.7574 0.0000
Al1 Al 0.6665 0.6665 0.3330
Al2 Al 0.3335 0.3335 0.6670
Ag1 Ag 0.8264 0.8264 0.1704
Ag2 Ag 0.6560 0.6560 0.8296
Ag3 Ag 0.1736 0.1736 0.8296
Ag4 Ag 0.3440 0.3440 0.1704
Ag5 Ag 0.1711 0.1711 0.3421
Ag6 Ag 0.8289 0.8289 0.6579
```

***

DFT (PBE) results for crystalline Cu3SO6 at its relaxed geometry.

**V**: 226.2 Å³ per cell
**Energy relative to the lowest polymorph listed for this composition**: 0 meV/atom
**Spin magnetization**: 0.001 μB/f.u.
**VASP energy**: -108.14 eV for the cell shown

```
data_Cu3SO6
_cell_length_a 5.1765
_cell_length_b 6.6988
_cell_length_c 6.6988
_cell_angle_alpha 103.20
_cell_angle_beta 90.00
_cell_angle_gamma 90.00
_symmetry_space_group_name_H-M 'P 1'
_symmetry_Int_Tables_number 1
_symmetry_space_group_name_Hall 'P 1'
loop_
_atom_site_label
_atom_site_type_symbol
_atom_site_fract_x
_atom_site_fract_y
_atom_site_fract_z
Cu1 Cu 0.4686 0.8856 0.6586
Cu2 Cu 0.9686 0.6586 0.8856
Cu3 Cu 0.4831 0.4639 0.5361
Cu4 Cu 0.9831 0.5361 0.4639
Cu5 Cu 0.9686 0.1144 0.3415
Cu6 Cu 0.4686 0.3415 0.1144
S1 S 0.0166 0.1643 0.8357
S2 S 0.5166 0.8357 0.1643
O1 O 0.2275 0.6503 0.6741
O2 O 0.7275 0.6741 0.6503
O3 O 0.1609 0.3609 0.9345
O4 O 0.6609 0.9345 0.3609
O5 O 0.0177 0.0248 0.9752
O6 O 0.7539 0.2198 0.7801
O7 O 0.2539 0.7801 0.2198
O8 O 0.5177 0.9752 0.0248
O9 O 0.1609 0.0655 0.6391
O10 O 0.6609 0.6391 0.0655
O11 O 0.2275 0.3259 0.3497
O12 O 0.7275 0.3497 0.3259
```

***

DFT (PBE) results for crystalline InPt2Rh at its relaxed geometry.

**V**: 65.4 Å³ per cell
**Spin magnetization**: 0.838 μB/f.u.
**VASP energy**: -23.18 eV for the cell shown
**ΔE_f**: -0.25 eV/atom

```
data_InPt2Rh
_cell_length_a 4.9178
_cell_length_b 4.9178
_cell_length_c 4.9178
_cell_angle_alpha 131.49
_cell_angle_beta 131.49
_cell_angle_gamma 71.04
_symmetry_space_group_name_H-M 'P 1'
_symmetry_Int_Tables_number 1
_symmetry_space_group_name_Hall 'P 1'
loop_
_atom_site_label
_atom_site_type_symbol
_atom_site_fract_x
_atom_site_fract_y
_atom_site_fract_z
Rh1 Rh 0.2500 0.7500 0.5000
Pt1 Pt 0.0000 0.0000 0.0000
Pt2 Pt 0.5000 0.5000 0.0000
In1 In 0.7500 0.2500 0.5000
```

***

DFT (PBE) results for crystalline Ac3SnHg2Pd8 at its relaxed geometry.

**V**: 309.4 Å³ per cell
**Spin magnetization**: 0.000 μB/f.u.
**VASP energy**: -66.38 eV for the cell shown
**ΔE_f**: -0.56 eV/atom

```
data_Ac3SnHg2Pd8
_cell_length_a 5.7381
_cell_length_b 5.7381
_cell_length_c 10.8508
_cell_angle_alpha 90.00
_cell_angle_beta 90.00
_cell_angle_gamma 120.00
_symmetry_space_group_name_H-M 'P 1'
_symmetry_Int_Tables_number 1
_symmetry_space_group_name_Hall 'P 1'
loop_
_atom_site_label
_atom_site_type_symbol
_atom_site_fract_x
_atom_site_fract_y
_atom_site_fract_z
Ac1 Ac 0.3333 0.6667 0.5864
Ac2 Ac 0.6667 0.3333 0.4136
Ac3 Ac 0.0000 0.0000 0.0000
Sn1 Sn 0.0000 0.0000 0.5000
Hg1 Hg 0.3333 0.6667 0.0916
Hg2 Hg 0.6667 0.3333 0.9084
Pd1 Pd 0.3333 0.6667 0.8453
Pd2 Pd 0.6667 0.3333 0.1547
Pd3 Pd 0.1679 0.8321 0.2979
Pd4 Pd 0.8321 0.1679 0.7021
Pd5 Pd 0.1679 0.3359 0.2979
Pd6 Pd 0.8321 0.6641 0.7021
Pd7 Pd 0.6641 0.8321 0.2979
Pd8 Pd 0.3359 0.1679 0.7021
```

***

DFT (PBE) results for crystalline AlPdAu2 at its relaxed geometry.

**V**: 65.9 Å³ per cell
**Spin magnetization**: 0.000 μB/f.u.
**VASP energy**: -16.75 eV for the cell shown
**ΔE_f**: -0.32 eV/atom

```
data_AlPdAu2
_cell_length_a 3.3590
_cell_length_b 3.3590
_cell_length_c 5.8440
_cell_angle_alpha 90.00
_cell_angle_beta 90.00
_cell_angle_gamma 90.00
_symmetry_space_group_name_H-M 'P 1'
_symmetry_Int_Tables_number 1
_symmetry_space_group_name_Hall 'P 1'
loop_
_atom_site_label
_atom_site_type_symbol
_atom_site_fract_x
_atom_site_fract_y
_atom_site_fract_z
Au1 Au 0.0000 0.0000 0.7612
Au2 Au 0.0000 0.0000 0.2388
Al1 Al 0.5000 0.5000 0.0000
Pd1 Pd 0.5000 0.5000 0.5000
```